Material: Co2BMoP
Method: DFT, PBE
State: relaxed

Cell lengths 4.518, 4.575, 4.518 Å; angles 90.00, 90.00, 90.00 degrees
Site moments in Bohr magnetons follow the coordinates.
Positions (direct):
1 Co 0.000 0.000 0.500  1.39
2 Co 0.500 0.000 0.000  0.85
3 B 0.500 0.500 0.500  -0.03
4 Mo 0.000 0.000 0.000  -0.15
5 P 0.000 0.500 0.000  0.07

Output
final energy	-5.461	eV per atom
ΔE_f	189.6	kJ per mole of atoms
ΔE to the lowest computed polymorph	994.8	meV per atom
density of states at the Fermi level	8.49	states/eV/cell